This record from Alexandria via LeMat-Bulk describes LaPt3Br at its PBEsol-relaxed geometry. The functional is meta-GGA SCAN.

## Properties
As for the space-group type: Pm-3m.

Cell lengths 4.7966, 4.7966, 4.7966 Å; angles 90.00, 90.00, 90.00 degrees
Closest atoms and distances in Å follow each position.
Atoms (fractional coordinates):
La: 0.0000 0.0000 0.0000  12 Pt 3.39
Pt: 0.0000 0.5000 0.5000  2 Br 2.40
Pt: 0.5000 0.0000 0.5000  2 Br 2.40
Pt: 0.5000 0.5000 0.0000  2 Br 2.40
Br: 0.5000 0.5000 0.5000  6 Pt 2.40


This record from Alexandria via LeMat-Bulk describes LaPtBr2 at its PBEsol-relaxed geometry. The functional is meta-GGA SCAN.

## Properties
For the relative energy among the computed polymorphs, the calculation gives 0.000 eV/atom. As for the space-group type: P4mm.

Cell lengths 3.8047, 3.8047, 7.2625 Å; angles 90.00, 90.00, 90.00 degrees
Closest atoms and distances in Å follow each position.
Atoms (fractional coordinates):
La: 0.0000 0.0000 0.0000  1 Br 2.82, 4 Pt 2.98
Pt: 0.5000 0.5000 0.8239  4 La 2.98, 5 Br 3.06-3.10
Br: 0.0000 0.0000 0.6117  1 La 2.82, 4 Pt 3.10
Br: 0.5000 0.5000 0.2448  1 Pt 3.06, 4 La 3.22


This record from Alexandria via LeMat-Bulk describes LaPtBr2 at its PBEsol-relaxed geometry. The functional is meta-GGA SCAN.

## Properties
For the relative energy among the computed polymorphs, the calculation gives 0.099 eV/atom. As for the space-group type: I-4m2.

Cell lengths 4.3220, 4.3220, 9.5437 Å; angles 90.00, 90.00, 90.00 degrees
Closest atoms and distances in Å follow each position.
Atoms (fractional coordinates):
La: 0.0000 0.0000 0.0000  8 Br 3.06-3.22, 4 Pt 3.22
La: 0.5000 0.5000 0.5000  8 Br 3.06-3.22, 4 Pt 3.22
Pt: 0.0000 0.5000 0.2500  8 Br 3.06-3.22, 4 La 3.22
Pt: 0.5000 0.0000 0.7500  8 Br 3.06-3.22, 4 La 3.22
Br: 0.0000 0.0000 0.5000  4 La 3.06, 4 Br 3.22, 4 Pt 3.22
Br: 0.0000 0.5000 0.7500  4 Pt 3.06, 4 La 3.22, 4 Br 3.22
Br: 0.5000 0.0000 0.2500  4 Pt 3.06, 4 La 3.22, 4 Br 3.22
Br: 0.5000 0.5000 0.0000  4 La 3.06, 4 Br 3.22, 4 Pt 3.22


This record from Alexandria via LeMat-Bulk describes RbLaPt2Br at its PBEsol-relaxed geometry. The functional is meta-GGA SCAN.

## Properties
As for the space-group type: P4/mmm.

Cell lengths 4.9502, 4.9502, 5.9046 Å; angles 90.00, 90.00, 90.00 degrees
Closest atoms and distances in Å follow each position.
Atoms (fractional coordinates):
Rb: 0.0000 0.0000 0.0000  4 Pt 2.48
La: 0.0000 0.0000 0.5000  2 Rb 2.95
Pt: 0.0000 0.5000 0.0000  2 Rb 2.48
Pt: 0.5000 0.0000 0.0000  2 Rb 2.48
Br: 0.5000 0.5000 0.5000  4 La 3.50, 8 Pt 3.85


This record from Alexandria via LeMat-Bulk describes LaPtSeBr2 at its PBEsol-relaxed geometry. The functional is meta-GGA SCAN.

## Properties
As for the space-group type: P4/mmm.

Cell lengths 5.5983, 5.5983, 5.8454 Å; angles 90.00, 90.00, 90.00 degrees
Closest atoms and distances in Å follow each position.
Atoms (fractional coordinates):
La: 0.0000 0.0000 0.0000  4 Br 2.80, 2 Se 2.92
Pt: 0.5000 0.5000 0.5000  4 Se 3.96, 8 Br 4.05
Se: 0.0000 0.0000 0.5000  2 La 2.92
Br: 0.0000 0.5000 0.0000  2 La 2.80
Br: 0.5000 0.0000 0.0000  2 La 2.80


This record from Alexandria via LeMat-Bulk describes Rb2LaBr5 at its PBEsol-relaxed geometry. The functional is meta-GGA SCAN.

## Properties
As for the space-group type: Pnma.

Cell lengths 13.6277, 9.3321, 8.5666 Å; angles 90.00, 90.00, 90.00 degrees
Closest atoms and distances in Å follow each position.
Atoms (fractional coordinates):
Rb: 0.1714 0.0062 0.0603  8 Br 3.40-3.64
Rb: 0.1714 0.4938 0.0603  8 Br 3.40-3.64
Rb: 0.3286 0.5062 0.5603  8 Br 3.40-3.64
Rb: 0.3286 0.9938 0.5603  8 Br 3.40-3.64
Rb: 0.6714 0.0062 0.4397  8 Br 3.40-3.64
Rb: 0.6714 0.4938 0.4397  8 Br 3.40-3.64
Rb: 0.8286 0.5062 0.9397  8 Br 3.40-3.64
Rb: 0.8286 0.9938 0.9397  8 Br 3.40-3.64
La: 0.0062 0.2500 0.5751  7 Br 2.94-3.04
La: 0.4938 0.7500 0.0751  7 Br 2.94-3.04
La: 0.5062 0.2500 0.9249  7 Br 2.94-3.04
La: 0.9938 0.7500 0.4249  7 Br 2.94-3.04
Br: 0.0082 0.2500 0.9215  1 La 2.97
Br: 0.0741 0.5449 0.6685  2 La 3.01-3.04
Br: 0.0741 0.9551 0.6685  2 La 3.01-3.04
Br: 0.1825 0.2500 0.3778  1 La 2.94
Br: 0.2041 0.7500 0.3425  1 La 2.95
Br: 0.2959 0.2500 0.8425  1 La 2.95
Br: 0.3175 0.7500 0.8778  1 La 2.94
Br: 0.4259 0.0449 0.1685  2 La 3.01-3.04
Br: 0.4259 0.4551 0.1685  2 La 3.01-3.04
Br: 0.4918 0.7500 0.4215  1 La 2.97
Br: 0.5082 0.2500 0.5785  1 La 2.97
Br: 0.5741 0.5449 0.8315  2 La 3.01-3.04
Br: 0.5741 0.9551 0.8315  2 La 3.01-3.04
Br: 0.6825 0.2500 0.1222  1 La 2.94
Br: 0.7041 0.7500 0.1575  1 La 2.95
Br: 0.7959 0.2500 0.6575  1 La 2.95
Br: 0.8175 0.7500 0.6222  1 La 2.94
Br: 0.9259 0.0449 0.3315  2 La 3.01-3.04
Br: 0.9259 0.4551 0.3315  2 La 3.01-3.04
Br: 0.9918 0.7500 0.0785  1 La 2.97


This record from Alexandria via LeMat-Bulk describes LaRe2Br at its PBEsol-relaxed geometry. The functional is meta-GGA SCAN.

## Properties
For the relative energy among the computed polymorphs, the calculation gives 0.259 eV/atom. As for the space-group type: P4/mmm.

Cell lengths 3.8186, 3.8186, 5.6136 Å; angles 90.00, 90.00, 90.00 degrees
Closest atoms and distances in Å follow each position.
Atoms (fractional coordinates):
La: 0.0000 0.0000 0.0000  4 Br 2.70
Re: 0.0000 0.5000 0.5000  4 Re 2.70
Re: 0.5000 0.0000 0.5000  4 Re 2.70
Br: 0.5000 0.5000 0.0000  4 La 2.70


This record from Alexandria via LeMat-Bulk describes LaRe2Br at its PBEsol-relaxed geometry. The functional is meta-GGA SCAN.

## Properties
For the relative energy among the computed polymorphs, the calculation gives 0.000 eV/atom. As for the space-group type: Imm2.

Cell lengths 3.6929, 5.4830, 8.8015 Å; angles 90.00, 90.00, 90.00 degrees
Closest atoms and distances in Å follow each position.
Atoms (fractional coordinates):
La: 0.0000 0.0000 0.0000  4 Br 3.09-3.35, 8 Re 3.14-3.41
La: 0.5000 0.5000 0.5000  4 Br 3.09-3.35, 8 Re 3.14-3.41
Re: 0.0000 0.0000 0.4942  2 Re 2.37
Re: 0.0000 0.5000 0.8258  2 Re 2.37
Re: 0.5000 0.0000 0.3258  2 Re 2.37
Re: 0.5000 0.5000 0.9942  2 Re 2.37
Br: 0.0000 0.5000 0.2188  2 Re 2.71
Br: 0.5000 0.0000 0.7188  2 Re 2.71


This record from Alexandria via LeMat-Bulk describes LaRhBr at its PBEsol-relaxed geometry. The functional is meta-GGA SCAN.

## Properties
As for the space-group type: P-6m2.

Cell lengths 4.4204, 4.4204, 3.7617 Å; angles 90.00, 90.00, 120.00 degrees
Closest atoms and distances in Å follow each position.
Atoms (fractional coordinates):
La: 0.0000 0.0000 0.0000  6 Br 3.17, 6 Rh 3.17
Rh: 0.6667 0.3333 0.5000  3 Br 2.55
Br: 0.3333 0.6667 0.5000  3 Rh 2.55


This record from Alexandria via LeMat-Bulk describes LaRhBr at its PBEsol-relaxed geometry. The functional is meta-GGA SCAN.

## Properties
As for the space-group type: I4mm.

Cell lengths 3.6322, 3.6322, 10.5405 Å; angles 90.00, 90.00, 90.00 degrees
Closest atoms and distances in Å follow each position.
Atoms (fractional coordinates):
La: 0.0000 0.0000 0.0000  4 Rh 2.82, 1 Br 3.11
La: 0.5000 0.5000 0.5000  4 Rh 2.82, 1 Br 3.11
Rh: 0.0000 0.0000 0.6099  4 La 2.82
Rh: 0.5000 0.5000 0.1099  4 La 2.82
Br: 0.0000 0.0000 0.2952  5 La 3.11-3.36, 5 Rh 3.23-3.32
Br: 0.5000 0.5000 0.7952  5 La 3.11-3.36, 5 Rh 3.23-3.32


This record from Alexandria via LeMat-Bulk describes LaRhBr3 at its PBEsol-relaxed geometry. The functional is meta-GGA SCAN.

## Properties
As for the space-group type: Pm-3m.

Cell lengths 5.7236, 5.7236, 5.7236 Å; angles 90.00, 90.00, 90.00 degrees
Closest atoms and distances in Å follow each position.
Atoms (fractional coordinates):
La: 0.0000 0.0000 0.0000  6 Br 2.86
Rh: 0.5000 0.5000 0.5000  12 Br 4.05
Br: 0.0000 0.0000 0.5000  2 La 2.86
Br: 0.0000 0.5000 0.0000  2 La 2.86
Br: 0.5000 0.0000 0.0000  2 La 2.86


This record from Alexandria via LeMat-Bulk describes LaRuBr3 at its PBEsol-relaxed geometry. The functional is meta-GGA SCAN.

## Properties
For the relative energy among the computed polymorphs, the calculation gives 0.141 eV/atom. As for the space-group type: Pm-3m.

Cell lengths 5.7641, 5.7641, 5.7641 Å; angles 90.00, 90.00, 90.00 degrees
Closest atoms and distances in Å follow each position.
Atoms (fractional coordinates):
La: 0.0000 0.0000 0.0000  6 Br 2.88
Ru: 0.5000 0.5000 0.5000  12 Br 4.08
Br: 0.0000 0.0000 0.5000  2 La 2.88
Br: 0.0000 0.5000 0.0000  2 La 2.88
Br: 0.5000 0.0000 0.0000  2 La 2.88


Number 1: calculated total energy -54.496 eV per atom. Number 2: calculated total energy -39.147 eV per atom. Number 3: calculated total energy -39.048 eV per atom. Number 4: calculated total energy -43.568 eV per atom. Number 5: calculated total energy -34.710 eV per atom. Number 6: calculated total energy -24.887 eV per atom. Number 7: calculated total energy -50.539 eV per atom. Number 8: calculated total energy -50.798 eV per atom. Number 9: calculated total energy -32.920 eV per atom. Number 10: calculated total energy -32.899 eV per atom. Number 11: calculated total energy -27.740 eV per atom. Number 12: calculated total energy -27.651 eV per atom.